This record from Alexandria describes a geometry-optimized Ti2CoIr structure. The functional is PBE.

Computed properties:
V	15.035	Å³ per atom
uncorrected energy	-64.6	eV for the cell shown

a = 6.677 Å, b = 6.677 Å, c = 5.438 Å
α = 52.13°, β = 52.13°, γ = 90.00°
Fractional coordinates of all 8 atoms:
Ti 0.608 0.125 0.250
Ti 0.375 0.392 0.750
Ti 0.142 0.625 0.250
Ir 0.750 0.250 0.500
Co 0.500 0.500 0.000
Co 0.250 0.750 0.500
Ti 0.875 0.858 0.750
Ir 0.000 0.000 0.000

=====

This record from Alexandria describes a geometry-optimized TcPd3Ru structure. The functional is PBE.

Computed properties:
V	21.477	Å³ per atom
uncorrected energy	-27.0	eV for the cell shown

a = 4.753 Å, b = 4.753 Å, c = 4.753 Å
α = 90.00°, β = 90.00°, γ = 90.00°
Fractional coordinates of all 5 atoms:
Ru 0.000 0.000 0.000
Tc 0.500 0.500 0.500
Pd 0.000 0.500 0.000
Pd 0.000 0.000 0.500
Pd 0.500 0.000 0.000

=====

Quick rundown of energy relative to the elements, same order as above: -0.14 1.64 eV per atom